DFT (PBE-GGA) results for a relaxed Nd4B4O11F2 crystal.

Summary:
Symmetry = C2/c
Size of the total moment = 0.0 μB per formula unit
Raw formation energy = -3123 meV/atom

Cell and atoms, written as POSCAR:
```
Nd4B4O11F2
1.0
7.382 -0.001 -0.013
5.858 4.493 -0.013
0.227 0.077 14.065
F Nd O B
4 8 22 8
direct
0.291 0.250 0.422
0.750 0.709 0.078
0.709 0.750 0.578
0.250 0.291 0.922
0.300 0.259 0.130
0.741 0.700 0.370
0.416 0.466 0.871
0.700 0.741 0.870
0.584 0.534 0.129
0.466 0.416 0.371
0.259 0.300 0.630
0.534 0.584 0.629
0.169 0.058 0.062
0.745 0.416 0.963
0.012 0.646 0.757
0.855 0.145 0.250
0.646 0.012 0.257
0.988 0.354 0.243
0.942 0.831 0.438
0.058 0.169 0.562
0.377 0.823 0.274
0.255 0.584 0.037
0.177 0.623 0.226
0.145 0.855 0.750
0.212 0.963 0.892
0.823 0.377 0.774
0.623 0.177 0.726
0.354 0.988 0.743
0.831 0.942 0.938
0.037 0.788 0.608
0.584 0.255 0.537
0.963 0.212 0.392
0.416 0.745 0.463
0.788 0.037 0.108
0.856 0.955 0.527
0.955 0.856 0.027
0.144 0.045 0.473
0.887 0.928 0.215
0.045 0.144 0.973
0.113 0.072 0.785
0.928 0.887 0.715
0.072 0.113 0.285
```